# 1
## HoTaN2O (PBE)

Data for a relaxed HoTaN2O crystal.

Unit cell a=5.477 b=9.717 c=9.719 alpha=108.13 beta=90.00 gamma=90.01
Fractional coordinates of all 40 atoms:
Ho: 0.000 0.000 0.000
Ho: 0.001 0.500 0.496
Ho: 0.033 0.692 0.192
Ho: 0.039 0.189 0.688
Ho: 0.496 0.932 0.431
Ho: 0.506 0.434 0.931
Ho: 0.532 0.738 0.742
Ho: 0.541 0.244 0.239
Ta: 0.000 0.083 0.341
Ta: 0.009 0.601 0.855
Ta: 0.041 0.347 0.083
Ta: 0.501 0.590 0.348
Ta: 0.501 0.840 0.083
Ta: 0.508 0.076 0.830
Ta: 0.537 0.347 0.585
Ta: 0.999 0.847 0.592
N: 0.224 0.716 0.414
N: 0.227 0.914 0.224
N: 0.228 0.219 0.915
N: 0.328 0.967 0.660
N: 0.332 0.467 0.161
N: 0.332 0.658 0.967
N: 0.413 0.444 0.448
N: 0.415 0.948 0.949
N: 0.724 0.018 0.214
N: 0.727 0.515 0.712
N: 0.728 0.705 0.517
N: 0.828 0.269 0.464
N: 0.830 0.771 0.964
N: 0.831 0.962 0.774
N: 0.913 0.982 0.484
N: 0.916 0.483 0.986
O: 0.141 0.687 0.695
O: 0.142 0.196 0.200
O: 0.232 0.404 0.722
O: 0.328 0.159 0.481
O: 0.640 0.733 0.238
O: 0.644 0.235 0.741
O: 0.733 0.210 0.027
O: 0.830 0.453 0.271

Summary:
As for the space group: P1, No. 1. The total energy comes out at -0.35265 Ha/atom.



# 2
## CsFe3As5 (PBE)

Data for a relaxed CsFe3As5 crystal.

Unit cell a=5.092 b=5.092 c=8.851 alpha=90.00 beta=90.00 gamma=120.00
Fractional coordinates of all 9 atoms:
Cs: 0.000 0.000 0.000
Fe: 0.000 0.500 0.500
Fe: 0.500 0.000 0.500
Fe: 0.500 0.500 0.500
As: 0.000 0.000 0.500
As: 0.333 0.667 0.277
As: 0.333 0.667 0.723
As: 0.667 0.333 0.277
As: 0.667 0.333 0.723

Summary:
As for the space group: P6/mmm, No. 191. The total energy comes out at -0.20710 Ha/atom.